Here is a relaxed structure of YTc2Te from Alexandria via LeMat-Bulk. Energies are from PBE-GGA.

Its symmetry is C2/m, No. 12. The spin magnetization is 0.0 μB per cell. The value obtained for the volume is 86.3 Å³ per cell. The calculation puts the theoretical density at 7.9 g/cm3. For the uncorrected formation energy, the calculation gives 0.0642 eV/atom.

```
YTc2Te
1.0
-3.207 -0.314 -4.463
-5.043 -1.668 -1.442
-2.979 3.692 -0.157
Tc Te Y
2 1 1
Cartesian
-5.801 1.318 -2.937
-2.793 3.230 -0.251
-8.422 1.283 -4.546
-2.807 0.428 -1.515
```



Here is a relaxed structure of YTcTe from Alexandria via LeMat-Bulk. Energies are from PBE-GGA.

Its symmetry is R3m, No. 160. The spin magnetization is 0.0 μB per cell. The value obtained for the volume is 453.8 Å³ per cell. The calculation puts the theoretical density at 6.9 g/cm3. For the uncorrected formation energy, the calculation gives -0.5491 eV/atom.

```
YTcTe
1.0
-2.942 1.515 -2.530
-0.542 -3.693 1.848
-13.159 13.687 23.495
Tc Te Y
6 6 6
Cartesian
-3.164 0.842 0.754
-7.711 5.571 8.873
-6.750 3.668 10.045
-9.795 10.187 17.489
-1.183 1.230 2.112
-11.297 8.397 18.164
-2.984 3.104 5.328
-1.662 -1.625 0.959
-9.512 7.444 12.089
-11.234 9.235 15.164
-13.098 10.271 21.380
-4.706 4.895 8.403
-14.775 12.919 21.487
-6.418 6.675 11.459
-8.247 8.578 14.726
-3.373 0.156 4.016
-5.203 2.059 7.282
-12.946 11.016 18.220
```



Here is a relaxed structure of Y2TcTe from Alexandria via LeMat-Bulk. Energies are from PBE-GGA.

Its symmetry is I-4m2, No. 119. The spin magnetization is 0.8 μB per cell. The value obtained for the volume is 94.2 Å³ per cell. The calculation puts the theoretical density at 7.1 g/cm3. For the uncorrected formation energy, the calculation gives -0.2059 eV/atom.

```
Y2TcTe
1.0
5.990 -0.001 0.000
2.951 5.212 0.000
-4.471 -2.606 3.017
Y Te Tc
2 1 1
Cartesian
0.000 0.000 0.000
1.476 2.606 1.509
2.995 0.000 1.509
4.471 2.606 0.000
```



Here is a relaxed structure of YTc2Te from Alexandria via LeMat-Bulk. Energies are from PBE-GGA.

Its symmetry is P4mm, No. 99. The spin magnetization is 0.0 μB per cell. The value obtained for the volume is 80.3 Å³ per cell. The calculation puts the theoretical density at 8.5 g/cm3. For the uncorrected formation energy, the calculation gives 0.0122 eV/atom.

```
YTc2Te
1.0
-1.597 2.707 0.705
-2.378 -1.742 1.299
3.542 0.297 6.879
Tc Te Y
2 1 1
Cartesian
0.142 0.012 0.275
-1.223 0.547 2.487
1.635 0.137 3.175
0.785 0.715 6.386
```



Here is a relaxed structure of YTc2Te from Alexandria via LeMat-Bulk. Energies are from PBE-GGA.

Its symmetry is F-43m, No. 216. The spin magnetization is 2.0 μB per cell. The value obtained for the volume is 77.8 Å³ per cell. The calculation puts the theoretical density at 8.8 g/cm3. For the uncorrected formation energy, the calculation gives 0.3704 eV/atom.

```
YTc2Te
1.0
-2.103 0.634 4.259
1.268 -2.730 3.728
2.475 1.906 3.634
Te Tc Y
1 2 1
Cartesian
0.820 -0.095 5.811
0.000 0.000 0.000
0.410 -0.047 2.905
1.230 -0.142 8.716
```



Here is a relaxed structure of YTc2Te from Alexandria via LeMat-Bulk. Energies are from PBE-GGA.

Its symmetry is P4/mmm, No. 123. The spin magnetization is 0.0 μB per cell. The value obtained for the volume is 76.1 Å³ per cell. The calculation puts the theoretical density at 9.0 g/cm3. For the uncorrected formation energy, the calculation gives 0.1667 eV/atom.

```
YTc2Te
1.0
3.371 0.009 0.000
-0.010 3.371 0.000
0.000 0.000 6.696
Te Tc Y
1 2 1
Cartesian
1.681 1.690 1.674
0.000 0.000 3.162
0.000 0.000 0.185
1.681 1.690 5.022
```



Here is a relaxed structure of Y2TcTe2 from Alexandria via LeMat-Bulk. Energies are from PBE-GGA.

Its symmetry is I4/mmm, No. 139. The spin magnetization is 0.0 μB per cell. The value obtained for the volume is 139.2 Å³ per cell. The calculation puts the theoretical density at 6.3 g/cm3. For the uncorrected formation energy, the calculation gives 0.1488 eV/atom.

```
Y2TcTe2
1.0
4.091 0.000 0.000
0.000 4.091 0.000
2.046 2.046 8.314
Te Tc Y
2 1 2
Cartesian
2.046 4.091 4.157
4.091 2.046 4.157
0.000 0.000 0.000
2.046 2.046 1.576
4.091 4.091 6.738
```



Here is a relaxed structure of Y2TcTe from Alexandria via LeMat-Bulk. Energies are from PBE-GGA.

Its symmetry is P4mm, No. 99. The spin magnetization is 0.0 μB per cell. The value obtained for the volume is 98.2 Å³ per cell. The calculation puts the theoretical density at 6.8 g/cm3. For the uncorrected formation energy, the calculation gives -0.1353 eV/atom.

```
Y2TcTe
1.0
3.423 0.000 0.000
0.000 3.423 0.000
0.000 0.000 8.385
Tc Te Y
1 1 2
Cartesian
0.000 0.000 4.503
1.711 1.711 5.836
0.000 0.000 8.085
1.711 1.711 2.538
```



Here is a relaxed structure of YTcTe from Alexandria via LeMat-Bulk. Energies are from PBE-GGA.

Its symmetry is R3m, No. 160. The spin magnetization is 0.0 μB per cell. The value obtained for the volume is 450.2 Å³ per cell. The calculation puts the theoretical density at 7.0 g/cm3. For the uncorrected formation energy, the calculation gives -0.5731 eV/atom.

```
YTcTe
1.0
-0.081 -0.831 4.089
3.368 -0.977 -2.262
11.625 26.900 5.694
Te Tc Y
6 6 6
Cartesian
6.050 10.648 4.412
12.602 23.100 4.941
2.634 6.094 1.290
7.577 14.182 5.160
1.107 2.561 0.542
11.075 19.566 4.193
9.304 18.176 6.005
4.360 10.089 2.135
2.703 0.194 0.093
8.083 18.705 3.959
6.427 8.811 1.917
1.403 -0.107 2.135
9.548 16.032 3.445
5.730 13.260 2.807
4.074 3.365 0.764
10.674 21.347 6.677
11.204 25.927 5.488
4.523 7.114 3.664
```



Here is a relaxed structure of YTcTe from Alexandria via LeMat-Bulk. Energies are from PBE-GGA.

Its symmetry is F-43m, No. 216. The spin magnetization is 0.0 μB per cell. The value obtained for the volume is 70.5 Å³ per cell. The calculation puts the theoretical density at 7.4 g/cm3. For the uncorrected formation energy, the calculation gives -0.1607 eV/atom.

```
YTcTe
1.0
4.637 0.000 0.000
2.319 4.016 0.000
2.319 1.339 3.786
Y Te Tc
1 1 1
Cartesian
4.637 2.677 1.893
0.000 0.000 0.000
6.956 4.016 2.840
```



Here is a relaxed structure of Y2TcTe from Alexandria via LeMat-Bulk. Energies are from PBE-GGA.

Its symmetry is Imm2, No. 44. The spin magnetization is 0.0 μB per cell. The value obtained for the volume is 98.4 Å³ per cell. The calculation puts the theoretical density at 6.8 g/cm3. For the uncorrected formation energy, the calculation gives -0.3855 eV/atom.

```
Y2TcTe
1.0
-2.382 2.036 5.816
-5.115 -2.553 3.311
5.892 -0.846 -2.865
Y Tc Te
2 1 1
Cartesian
-1.782 -1.849 2.866
-0.060 -0.004 0.073
-3.836 -0.264 4.669
0.324 0.496 3.217
```



Here is a relaxed structure of YTc2Te from Alexandria via LeMat-Bulk. Energies are from PBE-GGA.

Its symmetry is C2/m, No. 12. The spin magnetization is 0.0 μB per cell. The value obtained for the volume is 77.1 Å³ per cell. The calculation puts the theoretical density at 8.9 g/cm3. For the uncorrected formation energy, the calculation gives 0.3616 eV/atom.

```
YTc2Te
1.0
5.487 0.010 -0.019
-2.185 5.033 -0.019
0.833 1.272 2.781
Tc Te Y
2 1 1
Cartesian
1.651 2.521 -0.019
0.000 0.000 0.000
3.160 0.641 1.381
-0.676 3.152 1.381
```